Arrangement i

DFT (PBE) results for a relaxed HfScCu crystal.

abc: 4.403 3.214 8.346
angles: 78.90 90.00 90.00
Fractional positions:
Sc1 0.250 0.903 0.193
Sc2 0.750 0.097 0.807
Hf1 0.250 0.709 0.582
Hf2 0.750 0.291 0.418
Cu1 0.250 0.542 0.917
Cu2 0.750 0.458 0.083

Computed properties:
total magnetic moment = 0.00 μB per cell
space-group type = Cmcm, No. 63
N(E_F) = 1.075 states/eV/atom

Arrangement ii

DFT (PBE) results for a relaxed HfScCu crystal.

abc: 4.052 4.052 10.890
angles: 90.00 90.00 120.00
Fractional positions:
Hf1 0.000 0.000 0.500
Hf2 0.000 0.000 0.000
Cu1 0.667 0.333 0.750
Cu2 0.333 0.667 0.250
Sc1 0.000 0.000 0.250
Sc2 0.000 0.000 0.750

Computed properties:
total magnetic moment = 0.00 μB per cell
space-group type = P6_3/mmc, No. 194
N(E_F) = 1.269 states/eV/atom

Arrangement iii

DFT (PBE) results for a relaxed HfScCu crystal.

abc: 5.644 4.559 5.696
angles: 66.36 82.77 113.82
Fractional positions:
Sc1 0.967 0.436 0.712
Sc2 0.596 0.795 0.623
Hf1 0.345 0.943 0.075
Hf2 0.720 0.587 0.162
Cu1 0.067 0.240 0.203
Cu2 0.264 0.149 0.584

Computed properties:
total magnetic moment = 0.00 μB per cell
space-group type = Cm, No. 8
N(E_F) = 1.086 states/eV/atom

Sorted by energy, starting with the most stable: arrangement i, arrangement iii, arrangement ii.

Arrangement i

DFT (PBE) results for a relaxed Hf2ScCu crystal.

abc: 4.790 4.790 4.790
angles: 60.00 60.00 60.00
Fractional positions:
Sc1 0.000 0.000 0.000
Hf1 0.750 0.750 0.750
Hf2 0.250 0.250 0.250
Cu1 0.500 0.500 0.500

Computed properties:
total magnetic moment = 0.00 μB per cell
space-group type = Fm-3m, No. 225
N(E_F) = 2.173 states/eV/atom

Arrangement ii

DFT (PBE) results for a relaxed Hf2ScCu crystal.

abc: 7.705 7.705 6.152
angles: 51.23 51.23 90.00
Fractional positions:
Hf1 0.375 0.320 0.750
Hf2 0.680 0.125 0.250
Hf3 0.875 0.930 0.750
Hf4 0.070 0.625 0.250
Sc1 0.500 0.500 0.000
Sc2 0.250 0.750 0.500
Cu1 0.750 0.250 0.500
Cu2 0.000 0.000 0.000

Computed properties:
total magnetic moment = 0.00 μB per cell
space-group type = I-42d, No. 122
N(E_F) = 1.552 states/eV/atom

Sorted by energy, starting with the most stable: arrangement i, arrangement ii.

Arrangement i

DFT (PBE) results for a relaxed Hf2ScCu crystal.

abc: 3.210 3.210 9.467
angles: 80.24 80.24 60.00
Fractional positions:
Hf1 0.259 0.259 0.223
Hf2 0.075 0.075 0.776
Sc1 0.500 0.500 0.501
Cu1 0.667 0.667 0.000

Computed properties:
total magnetic moment = 0.00 μB per cell
space-group type = R3m, No. 160
N(E_F) = 1.656 states/eV/atom

Arrangement ii

DFT (PBE) results for a relaxed Hf2ScCu crystal.

abc: 3.146 3.146 8.058
angles: 90.00 90.00 90.00
Fractional positions:
Sc1 0.500 0.500 0.500
Hf1 0.000 0.000 0.783
Hf2 0.000 0.000 0.217
Cu1 0.500 0.500 0.000

Computed properties:
total magnetic moment = 0.06 μB per cell
space-group type = P4/mmm, No. 123
N(E_F) = 1.525 states/eV/atom

Sorted by energy, starting with the most stable: arrangement ii, arrangement i.

Arrangement i

DFT (PBE) results for a relaxed HfSc2Cu crystal.

abc: 7.635 7.635 6.124
angles: 51.44 51.44 90.00
Fractional positions:
Sc1 0.573 0.125 0.250
Sc2 0.875 0.823 0.750
Sc3 0.375 0.427 0.750
Sc4 0.177 0.625 0.250
Cu1 0.500 0.500 0.000
Cu2 0.250 0.750 0.500
Hf1 0.750 0.250 0.500
Hf2 0.000 0.000 0.000

Computed properties:
total magnetic moment = 0.00 μB per cell
space-group type = I-42d, No. 122
N(E_F) = 1.658 states/eV/atom

Arrangement ii

DFT (PBE) results for a relaxed HfSc2Cu crystal.

abc: 3.274 3.274 9.282
angles: 79.84 79.84 60.00
Fractional positions:
Sc1 0.074 0.074 0.777
Sc2 0.259 0.259 0.223
Hf1 0.501 0.501 0.498
Cu1 0.666 0.666 0.002

Computed properties:
total magnetic moment = 0.00 μB per cell
space-group type = R3m, No. 160
N(E_F) = 1.334 states/eV/atom

Sorted by energy, starting with the most stable: arrangement ii, arrangement i.

Arrangement i

DFT (PBE) results for a relaxed HfSc2Cu crystal.

abc: 4.856 4.856 4.856
angles: 60.00 60.00 60.00
Fractional positions:
Cu1 0.000 0.000 0.000
Sc1 0.250 0.250 0.250
Sc2 0.750 0.750 0.750
Hf1 0.500 0.500 0.500

Computed properties:
total magnetic moment = 1.60 μB per cell
space-group type = Fm-3m, No. 225
N(E_F) = 1.313 states/eV/atom

Arrangement ii

DFT (PBE) results for a relaxed HfSc2Cu crystal.

abc: 3.185 3.185 7.986
angles: 90.00 90.00 90.00
Fractional positions:
Cu1 0.500 0.500 0.000
Sc1 0.000 0.000 0.217
Sc2 0.000 0.000 0.783
Hf1 0.500 0.500 0.500

Computed properties:
total magnetic moment = 0.00 μB per cell
space-group type = P4/mmm, No. 123
N(E_F) = 1.296 states/eV/atom

Sorted by energy, starting with the most stable: arrangement ii, arrangement i.

Arrangement i

DFT (PBE) results for a relaxed HfSc3Cu crystal.

abc: 4.926 4.926 4.926
angles: 90.00 90.00 90.00
Fractional positions:
Sc1 0.500 0.000 0.000
Sc2 0.000 0.000 0.500
Sc3 0.000 0.500 0.000
Cu1 0.000 0.000 0.000
Hf1 0.500 0.500 0.500

Computed properties:
total magnetic moment = 0.04 μB per cell
space-group type = Pm-3m, No. 221
N(E_F) = 3.829 states/eV/atom

Arrangement ii

DFT (PBE) results for a relaxed HfSc3Cu crystal.

abc: 5.166 5.166 5.166
angles: 90.00 90.00 90.00
Fractional positions:
Cu1 0.500 0.500 0.500
Sc1 0.500 0.000 0.000
Sc2 0.000 0.500 0.000
Sc3 0.000 0.000 0.500
Hf1 0.000 0.000 0.000

Computed properties:
total magnetic moment = 0.00 μB per cell
space-group type = Pm-3m, No. 221
N(E_F) = 0.655 states/eV/atom

Sorted by energy, starting with the most stable: arrangement i, arrangement ii.